(1)
Computed, not measured: a relaxed structure of PmCdAgGe at the PBE level of DFT.

## Properties
As for the formation energy: -0.323 eV per atom. Its crystal system is cubic. The symmetry is F-43m, No. 216.

Lattice parameters (Å, degrees): 5.0065 5.0065 5.0065 60.00 60.00 60.00
Fractional positions:
Ge1 0.7500 0.7500 0.7500
Cd1 0.5000 0.5000 0.5000
Ag1 0.2500 0.2500 0.2500
Pm1 0.0000 0.0000 0.0000



(2)
Computed, not measured: a relaxed structure of LuSnHgAu at the PBE level of DFT.

## Properties
As for the formation energy: -0.435 eV per atom. Its crystal system is cubic. The symmetry is F-43m, No. 216.

Lattice parameters (Å, degrees): 5.0360 5.0360 5.0360 60.00 60.00 60.00
Fractional positions:
Lu1 0.7500 0.7500 0.7500
Au1 0.5000 0.5000 0.5000
Hg1 0.0000 0.0000 0.0000
Sn1 0.2500 0.2500 0.2500



(3)
Computed, not measured: a relaxed structure of PmPu2Au3 at the PBE level of DFT.

## Properties
As for the formation energy: -0.520 eV per atom. Its crystal system is tetragonal. The symmetry is P4/mmm, No. 123.

Lattice parameters (Å, degrees): 3.5969 3.5969 11.3400 90.00 90.00 90.00
Fractional positions:
Pm1 0.5000 0.5000 0.5000
Pu1 0.5000 0.5000 0.8342
Pu2 0.5000 0.5000 0.1658
Au1 0.0000 0.0000 0.0000
Au2 0.0000 0.0000 0.6634
Au3 0.0000 0.0000 0.3366



(4)
Computed, not measured: a relaxed structure of LiU2Si4Ir3 at the PBE level of DFT.

## Properties
Its formation energy without anion corrections is -644.5 meV/atom. Its crystal system is tetragonal. The symmetry is P-4m2, No. 115.

Lattice parameters (Å, degrees): 4.1199 4.1199 9.8310 90.00 90.00 90.00
Fractional positions:
Li1 0.5000 0.5000 0.5000
U1 0.5000 0.0000 0.2508
U2 0.0000 0.5000 0.7492
Si1 0.5000 0.5000 0.0000
Si2 0.0000 0.0000 0.0000
Si3 0.5000 0.0000 0.6310
Si4 0.0000 0.5000 0.3690
Ir1 0.0000 0.0000 0.5000
Ir2 0.5000 0.0000 0.8719
Ir3 0.0000 0.5000 0.1281



Q: Which total moment values were calculated for the entries above? A: 0.000 0.000 1.917 0.341, in μB per atom.
Q: Which D(E_F) values were calculated for the entries above? A: 0.410 0.319 3.391 1.468, in states/eV per atom.